<A>
# ZrSiCl2

Crystalline ZrSiCl2 at its relaxed geometry (PBE-GGA, Alexandria via LeMat-Bulk).

It has space group Cmmm (No. 65), with a = 3.1333 Å, b = 5.8232 Å, c = 11.7317 Å, α = 90.00°, β = 90.00° and γ = 90.00°. Symmetry generates all atoms from Zr at (0.0000, 0.0000, 0.0000), Si at (0.0000, 0.0000, 0.5000) and Cl at (0.0000, 0.5000, 0.1723).

As for the total magnetic moment: 0.000 μB/f.u.

---

<B>
# ZrSiCl2

Crystalline ZrSiCl2 at its relaxed geometry (PBE-GGA, Alexandria via LeMat-Bulk).

It has space group R-3m (No. 166, hexagonal axes), with a = 3.2829 Å, b = 3.2829 Å, c = 28.7804 Å, α = 90.00°, β = 90.00° and γ = 120.00°. Symmetry generates all atoms from Zr at (0.0000, 0.0000, 0.0000), Si at (0.0000, 0.0000, 0.5000) and Cl at (0.0000, 0.0000, 0.0846).

As for the total magnetic moment: 0.000 μB/f.u.

---

Calculated relative energies: <A> 0.000; <B> 0.213, given in eV/atom

---

<A>
# ZrSiCl2

Crystalline ZrSiCl2 at its relaxed geometry (PBE-GGA, Alexandria via LeMat-Bulk).

It has space group P4/mmm (No. 123), with a = 4.1714 Å, b = 4.1714 Å, c = 4.5040 Å, α = 90.00°, β = 90.00° and γ = 90.00°. Symmetry generates all atoms from Zr at (0.0000, 0.0000, 0.0000), Si at (0.5000, 0.5000, 0.0000) and Cl at (0.0000, 0.5000, 0.5000).

As for the total magnetic moment: 0.000 μB/f.u.

---

<B>
# ZrSiCl2

Crystalline ZrSiCl2 at its relaxed geometry (PBE-GGA, Alexandria via LeMat-Bulk).

It has space group Pmmm (No. 47), with a = 3.1218 Å, b = 4.5333 Å, c = 5.3501 Å, α = 90.00°, β = 90.00° and γ = 90.00°. Symmetry generates all atoms from Zr at (0.0000, 0.0000, 0.0000), Si at (0.5000, 0.0000, 0.5000), Cl at (0.0000, 0.5000, 0.5000) and Cl at (0.5000, 0.5000, 0.0000).

As for the total magnetic moment: 0.000 μB/f.u.

---

<C>
# ZrSiCl2

Crystalline ZrSiCl2 at its relaxed geometry (PBE-GGA, Alexandria via LeMat-Bulk).

It has space group P4mm (No. 99), with a = 3.7755 Å, b = 3.7755 Å, c = 8.3632 Å, α = 90.00°, β = 90.00° and γ = 90.00°. Symmetry generates all atoms from Zr at (0.0000, 0.0000, 0.0000), Si at (0.5000, 0.5000, 0.0836), Cl at (0.0000, 0.0000, 0.7234) and Cl at (0.5000, 0.5000, 0.3381).

As for the total magnetic moment: 0.000 μB/f.u.

---

<D>
# ZrSiCl2

Crystalline ZrSiCl2 at its relaxed geometry (PBE-GGA, Alexandria via LeMat-Bulk).

It has space group P2/m (No. 10), with a = 3.3586 Å, b = 4.6026 Å, c = 5.0979 Å, α = 90.00°, β = 91.65° and γ = 90.00°. Symmetry generates all atoms from Zr at (0.0000, 0.0000, 0.0000), Si at (0.5000, 0.0000, 0.5000) and Cl at (0.2051, 0.5000, 0.2467).

As for the total magnetic moment: 0.000 μB/f.u.

---

Calculated relative energies: <A> 0.682; <B> 0.433; <C> 0.000; <D> 0.384, given in eV/atom

---

<A>
# ZrSiCl2

Crystalline ZrSiCl2 at its relaxed geometry (PBE-GGA, Alexandria via LeMat-Bulk).

It has space group Fm-3m (No. 225), with a = 6.6243 Å, b = 6.6243 Å, c = 6.6243 Å, α = 90.00°, β = 90.00° and γ = 90.00°. Symmetry generates all atoms from Zr at (0.0000, 0.0000, 0.0000), Si at (0.0000, 0.0000, 0.5000) and Cl at (0.2500, 0.2500, 0.2500).

As for the total magnetic moment: 0.000 μB/f.u.

---

<B>
# ZrSiCl2

Crystalline ZrSiCl2 at its relaxed geometry (PBE-GGA, Alexandria via LeMat-Bulk).

It has space group R-3m (No. 166, hexagonal axes), with a = 3.1954 Å, b = 3.1954 Å, c = 33.2958 Å, α = 90.00°, β = 90.00° and γ = 120.00°. Symmetry generates all atoms from Zr at (0.0000, 0.0000, 0.0000), Si at (0.0000, 0.0000, 0.5000) and Cl at (0.0000, 0.0000, 0.2776).

As for the total magnetic moment: 0.000 μB/f.u.

---

Calculated relative energies: <A> 0.514; <B> 0.000, given in eV/atom

---

<A>
# ZrSiCl2

Crystalline ZrSiCl2 at its relaxed geometry (PBE-GGA, Alexandria via LeMat-Bulk).

It has space group I4/mmm (No. 139), with a = 4.1902 Å, b = 4.1902 Å, c = 8.8040 Å, α = 90.00°, β = 90.00° and γ = 90.00°. Symmetry generates all atoms from Zr at (0.0000, 0.0000, 0.0000), Si at (0.0000, 0.0000, 0.5000) and Cl at (0.0000, 0.5000, 0.2500).

As for the total magnetic moment: 0.000 μB/f.u.

---

<B>
# ZrSiCl2

Crystalline ZrSiCl2 at its relaxed geometry (PBE-GGA, Alexandria via LeMat-Bulk).

It has space group Cmm2 (No. 35), with a = 3.1587 Å, b = 6.1826 Å, c = 9.8757 Å, α = 90.00°, β = 90.00° and γ = 90.00°. Symmetry generates all atoms from Zr at (0.0000, 0.0000, 0.0000), Si at (0.0000, 0.5000, 0.2173), Cl at (0.0000, 0.0000, 0.4060) and Cl at (0.0000, 0.5000, 0.7992).

As for the total magnetic moment: 0.000 μB/f.u.

---

<C>
# ZrSiCl2

Crystalline ZrSiCl2 at its relaxed geometry (PBE-GGA, Alexandria via LeMat-Bulk).

It has space group Imm2 (No. 44), with a = 3.1529 Å, b = 4.8272 Å, c = 12.1213 Å, α = 90.00°, β = 90.00° and γ = 90.00°. Symmetry generates all atoms from Zr at (0.0000, 0.0000, 0.0000), Si at (0.0000, 0.5000, 0.3109), Cl at (0.0000, 0.0000, 0.4745) and Cl at (0.0000, 0.5000, 0.6694).

As for the total magnetic moment: 0.000 μB/f.u.

---

Calculated relative energies: <A> 0.323; <B> 0.000; <C> 0.127, given in eV/atom

---

<A>
# ZrSiCl2

Crystalline ZrSiCl2 at its relaxed geometry (PBE-GGA, Alexandria via LeMat-Bulk).

It has space group Pm (No. 6), with a = 3.9738 Å, b = 3.6931 Å, c = 7.3422 Å, α = 90.00°, β = 97.13° and γ = 90.00°. Symmetry generates all atoms from Zr at (0.0000, 0.0000, 0.0000), Si at (0.5183, 0.5000, 0.0392), Cl at (0.1611, 0.0000, 0.3275) and Cl at (0.7505, 0.5000, 0.7419).

As for the total magnetic moment: 0.000 μB/f.u.

---

<B>
# ZrSiCl2

Crystalline ZrSiCl2 at its relaxed geometry (PBE-GGA, Alexandria via LeMat-Bulk).

It has space group R-3m (No. 166, hexagonal axes), with a = 3.1946 Å, b = 3.1946 Å, c = 34.2431 Å, α = 90.00°, β = 90.00° and γ = 120.00°. Symmetry generates all atoms from Zr at (0.0000, 0.0000, 0.0000), Si at (0.0000, 0.0000, 0.5000) and Cl at (0.0000, 0.0000, 0.3875).

As for the total magnetic moment: 0.000 μB/f.u.

---

Calculated relative energies: <A> 0.000; <B> 0.250, given in eV/atom

---

<A>
# ZrSiCl2

Crystalline ZrSiCl2 at its relaxed geometry (PBE-GGA, Alexandria via LeMat-Bulk).

It has space group C2/m (No. 12), with a = 14.4329 Å, b = 3.1484 Å, c = 4.7580 Å, α = 90.00°, β = 96.02° and γ = 90.00°. Symmetry generates all atoms from Zr at (0.0000, 0.0000, 0.0000), Si at (0.0000, 0.5000, 0.5000) and Cl at (0.1396, 0.5000, 0.2063).

As for the total magnetic moment: 0.000 μB/f.u.

---

<B>
# ZrSiCl2

Crystalline ZrSiCl2 at its relaxed geometry (PBE-GGA, Alexandria via LeMat-Bulk).

It has space group R3m (No. 160, hexagonal axes), with a = 3.2705 Å, b = 3.2705 Å, c = 28.2699 Å, α = 90.00°, β = 90.00° and γ = 120.00°. Symmetry generates all atoms from Zr at (0.0000, 0.0000, 0.0000), Si at (0.0000, 0.0000, 0.2612), Cl at (0.0000, 0.0000, 0.5315) and Cl at (0.0000, 0.0000, 0.7303).

As for the total magnetic moment: 0.000 μB/f.u.

---

Calculated relative energies: <A> 0.000; <B> 0.067, given in eV/atom